(1)
CaFeRe2 | PBE | optimized geometry

Results
- Density: 10913 kg/m3
- Energy of formation from the pure elements: 0.5227 eV/atom
- Spin magnetization: 2.43 μB/f.u.
- Fermi-level density of states: 0.943 states/eV/atom
- VASP energy: -33.27 eV/f.u.
- Energy above the lowest structure with this stoichiometry: 91 meV per atom

a = 2.7767 Å, b = 4.1885 Å, c = 6.2736 Å
α = 90.00°, β = 102.39°, γ = 90.00°
Space group Pm (No. 6)
Asymmetric unit:
Ca1 0.0000 0.0000 0.0000 x1
Fe1 0.7557 0.5000 0.3017 x1
Re1 0.2529 0.5000 0.6745 x1
Re2 0.4903 0.0000 0.5002 x1

=====

(2)
CaFeRe2 | PBE | optimized geometry

Results
- Density: 12317 kg/m3
- Energy of formation from the pure elements: 0.6506 eV/atom
- Spin magnetization: 0.00 μB/f.u.
- Fermi-level density of states: 1.022 states/eV/atom
- VASP energy: -32.76 eV/f.u.
- Energy above the lowest structure with this stoichiometry: 218 meV per atom

a = 2.7864 Å, b = 2.7864 Å, c = 28.1708 Å
α = 90.00°, β = 90.00°, γ = 120.00°
Space group R-3m (No. 166, hexagonal axes)
Asymmetric unit:
Ca1 0.0000 0.0000 0.0000 x3
Fe1 0.0000 0.0000 0.5000 x3
Re1 0.0000 0.0000 0.2378 x6

=====

(3)
Ca2FeRe2 | PBE | optimized geometry

Results
- Density: 7416 kg/m3
- Energy of formation from the pure elements: 0.9174 eV/atom
- Spin magnetization: 0.02 μB/f.u.
- Fermi-level density of states: 1.714 states/eV/atom
- VASP energy: -32.77 eV/f.u.
- Energy above the lowest structure with this stoichiometry: 0 meV per atom

a = 3.5100 Å, b = 3.5100 Å, c = 18.4808 Å
α = 90.00°, β = 90.00°, γ = 90.00°
Space group I4/mmm (No. 139)
Asymmetric unit:
Ca1 0.0000 0.0000 0.1012 x4
Fe1 0.0000 0.0000 0.5000 x2
Re1 0.0000 0.5000 0.2500 x4

=====

(4)
CaFeRe2 | PBE | optimized geometry

Results
- Density: 11702 kg/m3
- Energy of formation from the pure elements: 0.8265 eV/atom
- Spin magnetization: 2.30 μB/f.u.
- Fermi-level density of states: 1.189 states/eV/atom
- VASP energy: -32.05 eV/f.u.
- Energy above the lowest structure with this stoichiometry: 394 meV per atom

a = 3.7554 Å, b = 3.7554 Å, c = 4.7125 Å
α = 90.00°, β = 90.00°, γ = 90.00°
Space group P4/mmm (No. 123)
Asymmetric unit:
Ca1 0.0000 0.0000 0.0000 x1
Fe1 0.5000 0.5000 0.0000 x1
Re1 0.0000 0.5000 0.5000 x2

=====

(5)
CaFeRe2 | PBE | optimized geometry

Results
- Density: 11030 kg/m3
- Energy of formation from the pure elements: 0.9106 eV/atom
- Spin magnetization: 0.00 μB/f.u.
- Fermi-level density of states: 0.684 states/eV/atom
- VASP energy: -31.72 eV/f.u.
- Energy above the lowest structure with this stoichiometry: 478 meV per atom

a = 7.4332 Å, b = 7.4332 Å, c = 5.1044 Å
α = 90.00°, β = 90.00°, γ = 90.00°
Space group I-42d (No. 122)
Asymmetric unit:
Ca1 0.0000 0.0000 0.0000 x4
Fe1 0.0000 0.0000 0.5000 x4
Re1 0.1805 0.2500 0.6250 x8

=====

(6)
CaFeRe2 | PBE | optimized geometry

Results
- Density: 10470 kg/m3
- Energy of formation from the pure elements: 0.5772 eV/atom
- Spin magnetization: 1.80 μB/f.u.
- Fermi-level density of states: 1.139 states/eV/atom
- VASP energy: -33.05 eV/f.u.
- Energy above the lowest structure with this stoichiometry: 145 meV per atom

a = 9.0208 Å, b = 3.0514 Å, c = 5.5502 Å
α = 90.00°, β = 103.49°, γ = 90.00°
Space group Cm (No. 8)
Asymmetric unit:
Ca1 0.0000 0.0000 0.0000 x2
Fe1 0.2245 0.0000 0.6870 x2
Re1 0.0096 0.5000 0.5049 x2
Re2 0.2837 0.5000 0.3680 x2

=====

(7)
CaFeRe2 | PBE | optimized geometry

Results
- Density: 12096 kg/m3
- Energy of formation from the pure elements: 0.5103 eV/atom
- Spin magnetization: 1.64 μB/f.u.
- Fermi-level density of states: 0.895 states/eV/atom
- VASP energy: -33.32 eV/f.u.
- Energy above the lowest structure with this stoichiometry: 78 meV per atom

a = 2.7304 Å, b = 2.7304 Å, c = 8.6247 Å
α = 90.00°, β = 90.00°, γ = 90.00°
Space group P4/mmm (No. 123)
Asymmetric unit:
Ca1 0.0000 0.0000 0.0000 x1
Fe1 0.0000 0.0000 0.5000 x1
Re1 0.5000 0.5000 0.2974 x2

=====

(8)
CaFeRe2 | PBE | optimized geometry

Results
- Density: 12236 kg/m3
- Energy of formation from the pure elements: 0.5981 eV/atom
- Spin magnetization: 1.78 μB/f.u.
- Fermi-level density of states: 1.088 states/eV/atom
- VASP energy: -32.97 eV/f.u.
- Energy above the lowest structure with this stoichiometry: 166 meV per atom

a = 6.3350 Å, b = 6.3350 Å, c = 6.3350 Å
α = 90.00°, β = 90.00°, γ = 90.00°
Space group F-43m (No. 216)
Asymmetric unit:
Ca1 0.0000 0.0000 0.0000 x4
Fe1 0.2500 0.2500 0.2500 x4
Re1 0.0000 0.0000 0.5000 x4
Re2 0.2500 0.2500 0.7500 x4

=====

(9)
Ca2FeReRh | PBE | optimized geometry

Results
- Density: 5090 kg/m3
- Energy of formation from the pure elements: 1.2216 eV/atom
- Spin magnetization: 3.53 μB/f.u.
- Fermi-level density of states: 2.748 states/eV/atom
- VASP energy: -26.16 eV/f.u.

a = 5.4752 Å, b = 5.4752 Å, c = 4.6260 Å
α = 90.00°, β = 90.00°, γ = 90.00°
Space group P4/mmm (No. 123)
Asymmetric unit:
Ca1 0.0000 0.5000 0.0000 x2
Fe1 0.0000 0.0000 0.5000 x1
Re1 0.5000 0.5000 0.0000 x1
Rh1 0.5000 0.5000 0.5000 x1

=====

(10)
CaScFe2Re | PBE | optimized geometry

Results
- Density: 7831 kg/m3
- Energy of formation from the pure elements: 2.1906 eV/atom
- Spin magnetization: 0.25 μB/f.u.
- Fermi-level density of states: 1.811 states/eV/atom
- VASP energy: -26.75 eV/f.u.

a = 4.2011 Å, b = 4.2011 Å, c = 4.6005 Å
α = 90.00°, β = 90.00°, γ = 90.00°
Space group P4/mmm (No. 123)
Asymmetric unit:
Ca1 0.0000 0.0000 0.0000 x1
Sc1 0.0000 0.0000 0.5000 x1
Fe1 0.0000 0.5000 0.0000 x2
Re1 0.5000 0.5000 0.5000 x1

=====

(11)
Ca2VFeRe | PBE | optimized geometry

Results
- Density: 5373 kg/m3
- Energy of formation from the pure elements: 1.3955 eV/atom
- Spin magnetization: 3.67 μB/f.u.
- Fermi-level density of states: 1.403 states/eV/atom
- VASP energy: -27.05 eV/f.u.

a = 5.2779 Å, b = 5.2779 Å, c = 4.1401 Å
α = 90.00°, β = 90.00°, γ = 90.00°
Space group P4/mmm (No. 123)
Asymmetric unit:
Ca1 0.0000 0.5000 0.0000 x2
V1 0.0000 0.0000 0.5000 x1
Fe1 0.0000 0.0000 0.0000 x1
Re1 0.5000 0.5000 0.5000 x1

=====

(12)
Ca2ZrFeRe | PBE | optimized geometry

Results
- Density: 4458 kg/m3
- Energy of formation from the pure elements: 1.9545 eV/atom
- Spin magnetization: 0.44 μB/f.u.
- Fermi-level density of states: 2.289 states/eV/atom
- VASP energy: -23.69 eV/f.u.

a = 5.7457 Å, b = 5.7457 Å, c = 4.6652 Å
α = 90.00°, β = 90.00°, γ = 90.00°
Space group P4/mmm (No. 123)
Asymmetric unit:
Ca1 0.0000 0.5000 0.0000 x2
Zr1 0.0000 0.0000 0.0000 x1
Fe1 0.5000 0.5000 0.5000 x1
Re1 0.0000 0.0000 0.5000 x1

=====

(13)
CaFeRh2 | PBE | optimized geometry

Results
- Density: 7217 kg/m3
- Energy of formation from the pure elements: 0.0446 eV/atom
- Spin magnetization: 4.22 μB/f.u.
- Fermi-level density of states: 0.668 states/eV/atom
- VASP energy: -24.99 eV/f.u.
- Energy above the lowest structure with this stoichiometry: 176 meV per atom

a = 8.6288 Å, b = 3.0395 Å, c = 5.4443 Å
α = 90.00°, β = 103.49°, γ = 90.00°
Space group C2/m (No. 12)
Asymmetric unit:
Ca1 0.0000 0.0000 0.0000 x2
Fe1 0.0000 0.5000 0.5000 x2
Rh1 0.2311 0.0000 0.6926 x4

=====

(14)
CaFeRh | PBE | optimized geometry

Results
- Density: 5519 kg/m3
- Energy of formation from the pure elements: 0.2268 eV/atom
- Spin magnetization: 3.22 μB/f.u.
- Fermi-level density of states: 0.980 states/eV/atom
- VASP energy: -17.14 eV/f.u.

a = 5.2809 Å, b = 13.1804 Å, c = 13.7510 Å
α = 90.00°, β = 90.00°, γ = 90.00°
Space group Fmmm (No. 69)
Asymmetric unit:
Ca1 0.0000 0.1229 0.1236 x16
Fe1 0.0000 0.0000 0.4132 x8
Fe2 0.0000 0.1750 0.5000 x8
Rh1 0.0000 0.1708 0.3224 x16

=====

(15)
CaFeRh3 | PBE | optimized geometry

Results
- Density: 7046 kg/m3
- Energy of formation from the pure elements: 0.3395 eV/atom
- Spin magnetization: 4.05 μB/f.u.
- Fermi-level density of states: 0.908 states/eV/atom
- VASP energy: -30.82 eV/f.u.

a = 4.5687 Å, b = 4.5687 Å, c = 4.5687 Å
α = 90.00°, β = 90.00°, γ = 90.00°
Space group Pm-3m (No. 221)
Asymmetric unit:
Ca1 0.0000 0.0000 0.0000 x1
Fe1 0.5000 0.5000 0.5000 x1
Rh1 0.0000 0.5000 0.5000 x3